This record from the Alexandria database describes a relaxed structure of LiFeIr2. The functional is GGA-PBEsol.

Unit cell a=5.387 b=7.057 c=2.624 alpha=90.00 beta=90.00 gamma=90.00
Space group Cmmm (No. 65)
Asymmetric unit:
Li 0.000 0.000 0.000 [2 per cell]
Fe 0.000 0.500 0.000 [2 per cell]
Ir 0.250 0.250 0.500 [4 per cell]

Results
Electronic total energy   -7.61 eV per atom
Energy relative to the elements   0.039 eV per atom

This record from the Alexandria database describes a relaxed structure of Tl2HgRh. The functional is GGA-PBEsol.

Unit cell a=5.096 b=5.096 c=3.200 alpha=90.00 beta=90.00 gamma=90.00
Space group P4/mmm (No. 123)
Asymmetric unit:
Tl 0.000 0.500 0.000 [2 per cell]
Hg 0.000 0.000 0.500 [1 per cell]
Rh 0.500 0.500 0.500 [1 per cell]

Results
Relative energy among the computed polymorphs   194 meV/atom
Electronic total energy   -3.24 eV per atom
Energy relative to the elements   0.251 eV per atom

> Which value of electronic total energy does entry 2 give?

-3.24 eV per atom

> Number 2 is which compound?

Tl2HgRh

> Which of these has the lowest energy relative to the elements?

LiFeIr2

> Look up the electronic total energy of the first one.

-7.61 eV per atom